(1)
Computed, not measured: crystalline LuUPaAl at its relaxed geometry at the GGA-PBE level of DFT.

Lattice parameters (Å, degrees): 7.1832 7.1832 7.1832 90.00 90.00 90.00
Space group F-43m (No. 216)
Asymmetric unit:
Lu (0.0000, 0.0000, 0.0000) x4
U (0.2500, 0.2500, 0.2500) x4
Pa (0.0000, 0.0000, 0.5000) x4
Al (0.2500, 0.2500, 0.7500) x4

## Properties
- electronic total energy (eV per atom) = -7.015
- Fermi-level density of states (states/eV per cell) = 44.02
- energy of formation (eV/atom) = 0.25

(2)
Computed, not measured: crystalline LuPaAlZn at its relaxed geometry at the GGA-PBE level of DFT.

Lattice parameters (Å, degrees): 7.0667 7.0667 7.0667 90.00 90.00 90.00
Space group F-43m (No. 216)
Asymmetric unit:
Lu (0.0000, 0.0000, 0.0000) x4
Pa (0.0000, 0.0000, 0.5000) x4
Al (0.2500, 0.2500, 0.7500) x4
Zn (0.2500, 0.2500, 0.2500) x4

## Properties
- electronic total energy (eV per atom) = -4.874
- Fermi-level density of states (states/eV per cell) = 18.76
- energy of formation (eV/atom) = -0.12

(3)
Computed, not measured: crystalline LuZrPaAl at its relaxed geometry at the GGA-PBE level of DFT.

Lattice parameters (Å, degrees): 7.2174 7.2174 7.2174 90.00 90.00 90.00
Space group F-43m (No. 216)
Asymmetric unit:
Lu (0.0000, 0.0000, 0.0000) x4
Zr (0.2500, 0.2500, 0.7500) x4
Pa (0.0000, 0.0000, 0.5000) x4
Al (0.2500, 0.2500, 0.2500) x4

## Properties
- electronic total energy (eV per atom) = -6.518
- Fermi-level density of states (states/eV per cell) = 25.71
- energy of formation (eV/atom) = 0.06

(4)
Computed, not measured: crystalline LuAlPb at its relaxed geometry at the GGA-PBE level of DFT.

Lattice parameters (Å, degrees): 5.0483 5.0483 3.3401 90.00 90.00 120.00
Space group P3m1 (No. 156)
Asymmetric unit:
Lu (0.0000, 0.0000, 0.0000) x1
Al (0.6667, 0.3333, 0.5012) x1
Pb (0.3333, 0.6667, 0.4992) x1

## Properties
- electronic total energy (eV per atom) = -4.116
- Fermi-level density of states (states/eV per cell) = 1.52
- energy of formation (eV/atom) = -0.13